! CsRb3Mo2O8 PBE+U optimized geometry; values from VASP
! - calculated volume (Å³ per cell) = 335
! - VASP energy (eV per atom) = -5.97
&SYSTEM
  ibrav = 0, nat = 14, ntyp = 4
/
ATOMIC_SPECIES
Cs 132.91 Cs.upf
Rb 85.47 Rb.upf
Mo 95.94 Mo.upf
O 16.00 O.upf
CELL_PARAMETERS angstrom
6.554 0.000 0.000
-3.277 5.676 0.000
0.000 0.000 9.009
ATOMIC_POSITIONS angstrom
Cs 0.000 0.000 0.000
Rb 0.000 0.000 4.505
Rb 0.000 3.784 1.843
Rb 3.277 1.892 7.167
Mo 0.000 3.784 6.279
Mo 3.277 1.892 2.730
O 0.000 2.089 6.897
O -1.468 4.631 6.897
O 0.000 3.784 4.490
O 1.809 1.045 2.113
O 1.468 4.631 6.897
O 3.277 1.892 4.520
O 4.744 1.045 2.113
O 3.277 3.587 2.113